CrSbF3: optimized geometry, PBE+U.

Unit cell a=4.234 b=4.234 c=4.234 alpha=90.00 beta=90.00 gamma=90.00
Sites, in units of the cell vectors:
F 0.000 0.000 0.500
F 0.000 0.500 0.000
F 0.500 0.000 0.000
Cr 0.000 0.000 0.000
Sb 0.500 0.500 0.500

Computed properties:
The relative energy among the computed polymorphs is 0.0 meV per atom. The space group is No. 221. For the total magnetization, the calculation gives 3.5 μB per formula unit.